1.
First-principles (PBE) data for a relaxed La9NdDy2 crystal, as listed in the Alexandria database.

**Symmetry**: No. 123
**DOS at the Fermi energy**: 17.75 states/eV/cell
**Formation energy from the elements**: 7 meV per atom

Unit cell a=5.2164 b=5.2164 c=15.6681 alpha=90.00 beta=90.00 gamma=90.00
Atoms (fractional coordinates):
La 0.5000 0.5000 0.0000
La 0.5000 0.5000 0.3344
La 0.5000 0.0000 0.5000
La 0.0000 0.5000 0.1684
La 0.5000 0.5000 0.6656
La 0.0000 0.5000 0.8316
Nd 0.0000 0.0000 0.0000
Dy 0.0000 0.0000 0.3345
Dy 0.0000 0.0000 0.6655
La 0.0000 0.5000 0.5000
La 0.5000 0.0000 0.1684
La 0.5000 0.0000 0.8316



2.
First-principles (PBE) data for a relaxed ThFeC2 crystal, as listed in the Alexandria database.

**Symmetry**: No. 166
**DOS at the Fermi energy**: 2.27 states/eV/cell
**Formation energy from the elements**: 292 meV per atom

Unit cell a=3.5590 b=3.5590 c=4.8990 alpha=68.70 beta=68.70 gamma=60.00
Atoms (fractional coordinates):
Th 0.5000 0.5000 0.5000
C 0.7126 0.7126 0.8621
C 0.2874 0.2874 0.1379
Fe 0.0000 0.0000 0.0000



3.
First-principles (PBE) data for a relaxed AgTeI2O crystal, as listed in the Alexandria database.

**Symmetry**: No. 123
**Distance to the lowest polymorph of the same formula**: 0.0 meV/atom
**DOS at the Fermi energy**: 2.30 states/eV/cell
**Raw formation energy**: -0.027 eV per atom

Unit cell a=6.1863 b=6.1863 c=4.0668 alpha=90.00 beta=90.00 gamma=90.00
Atoms (fractional coordinates):
Te 0.0000 0.0000 0.0000
Ag 0.5000 0.5000 0.5000
O 0.0000 0.0000 0.5000
I 0.0000 0.5000 0.0000
I 0.5000 0.0000 0.0000



4.
First-principles (PBE) data for a relaxed TbBeSi2Os2 crystal, as listed in the Alexandria database.

**Symmetry**: No. 123
**DOS at the Fermi energy**: 2.22 states/eV/cell
**Raw formation energy**: -0.442 eV per atom

Unit cell a=4.2365 b=4.2365 c=5.2056 alpha=90.00 beta=90.00 gamma=90.00
Atoms (fractional coordinates):
Si 0.5000 0.5000 0.7328
Tb 0.0000 0.0000 0.5000
Os 0.0000 0.5000 0.0000
Os 0.5000 0.0000 0.0000
Be 0.0000 0.0000 0.0000
Si 0.5000 0.5000 0.2672



5.
First-principles (PBE) data for a relaxed Sr3TlO crystal, as listed in the Alexandria database.

**Symmetry**: No. 11
**DOS at the Fermi energy**: 7.64 states/eV/cell
**Raw formation energy**: -1.207 eV per atom

Unit cell a=9.9418 b=9.3148 c=9.0672 alpha=90.00 beta=24.25 gamma=90.00
Atoms (fractional coordinates):
Sr 0.0013 0.2500 0.5062
O 0.4990 0.7500 0.1377
Sr 0.4994 0.9498 0.3008
O 0.5010 0.2500 0.8623
Sr 0.4994 0.5502 0.3008
Sr 0.9987 0.7500 0.4938
Sr 0.5006 0.4498 0.6992
Tl 0.0011 0.7500 0.0868
Tl 0.9989 0.2500 0.9132
Sr 0.5006 0.0502 0.6992



6.
First-principles (PBE) data for a relaxed YMg2Ti3S8 crystal, as listed in the Alexandria database.

**Symmetry**: No. 166
**DOS at the Fermi energy**: 7.35 states/eV/cell
**Raw formation energy**: -1.449 eV per atom

Unit cell a=7.5782 b=7.5783 c=7.5782 alpha=58.04 beta=58.04 gamma=58.04
Each line ends with the local moment (μB).
Atoms (fractional coordinates):
S 0.7405 0.7404 0.7405  -0.02
Mg 0.1280 0.1280 0.1280  0.01
S 0.7541 0.2728 0.7541  -0.02
Ti 0.0000 0.5000 0.5000  0.79
Ti 0.5000 0.5000 0.0000  0.79
S 0.7541 0.7541 0.2728  -0.02
Ti 0.5000 0.0000 0.5000  0.79
S 0.2459 0.7272 0.2459  -0.02
Y 0.5000 0.5000 0.5000  0.03
S 0.2459 0.2459 0.7272  -0.02
Mg 0.8720 0.8720 0.8720  0.01
S 0.7272 0.2459 0.2459  -0.02
S 0.2596 0.2595 0.2596  -0.02
S 0.2728 0.7541 0.7541  -0.02



7.
First-principles (PBE) data for a relaxed NaSr2La crystal, as listed in the Alexandria database.

**Symmetry**: No. 166
**Distance to the lowest polymorph of the same formula**: 155.3 meV/atom
**DOS at the Fermi energy**: 5.58 states/eV/cell
**Formation energy from the elements**: 251 meV per atom

Unit cell a=3.8642 b=3.8642 c=14.3136 alpha=82.24 beta=82.24 gamma=60.00
Each line ends with the local moment (μB).
Atoms (fractional coordinates):
Sr 0.9124 0.9124 0.2627  0.01
Na 0.5000 0.5000 0.5000  0.00
Sr 0.0876 0.0876 0.7373  0.01
La 0.0000 0.0000 0.0000  0.17



8.
First-principles (PBE) data for a relaxed Pm2PrNd5Tm crystal, as listed in the Alexandria database.

**Symmetry**: No. 140
**DOS at the Fermi energy**: 28.31 states/eV/cell
**Formation energy from the elements**: 277 meV per atom

Unit cell a=8.9736 b=8.9736 c=10.0914 alpha=116.40 beta=116.40 gamma=90.00
Atoms (fractional coordinates):
Nd 0.9288 0.4288 0.2759
Nd 0.5712 0.6529 0.7241
Nd 0.0000 0.0000 0.0000
Nd 0.8471 0.9288 0.2759
Pr 0.7500 0.7500 0.5000
Nd 0.6529 0.1529 0.7241
Pm 0.1158 0.3842 0.0000
Nd 0.0712 0.5712 0.7241
Nd 0.4288 0.3471 0.2759
Tm 0.7500 0.2500 0.5000
Pm 0.6158 0.1158 0.0000
Pm 0.3842 0.8842 0.0000
Pr 0.2500 0.2500 0.5000
Nd 0.1529 0.0712 0.7241
Nd 0.3471 0.8471 0.2759
Nd 0.5000 0.5000 0.0000
Tm 0.2500 0.7500 0.5000
Pm 0.8842 0.6158 0.0000



9.
First-principles (PBE) data for a relaxed Y2GePt crystal, as listed in the Alexandria database.

**Symmetry**: No. 122
**DOS at the Fermi energy**: 0.91 states/eV/cell
**Formation energy from the elements**: -312 meV per atom

Unit cell a=6.0341 b=6.0341 c=8.3615 alpha=68.85 beta=68.85 gamma=90.00
Atoms (fractional coordinates):
Pt 0.7500 0.2500 0.5000
Y 0.8750 0.8781 0.7500
Ge 0.2500 0.7500 0.5000
Y 0.3750 0.3719 0.7500
Pt 0.0000 0.0000 0.0000
Y 0.6281 0.1250 0.2500
Ge 0.5000 0.5000 0.0000
Y 0.1219 0.6250 0.2500



10.
First-principles (PBE) data for a relaxed Ba2TeSeBr crystal, as listed in the Alexandria database.

**Symmetry**: No. 123
**DOS at the Fermi energy**: 1.99 states/eV/cell
**Raw formation energy**: -0.846 eV per atom

Unit cell a=6.2949 b=5.5082 c=6.2949 alpha=90.00 beta=90.00 gamma=90.00
Atoms (fractional coordinates):
Ba 0.0000 0.0000 0.5000
Te 0.0000 0.5000 0.0000
Ba 0.5000 0.0000 0.0000
Br 0.0000 0.0000 0.0000
Se 0.5000 0.5000 0.5000



11.
First-principles (PBE) data for a relaxed UIr2Pt crystal, as listed in the Alexandria database.

**Symmetry**: No. 166
**Distance to the lowest polymorph of the same formula**: 504.8 meV/atom
**DOS at the Fermi energy**: 2.97 states/eV/cell
**Formation energy from the elements**: -131 meV per atom

Unit cell a=3.6862 b=3.6862 c=6.7813 alpha=74.23 beta=74.23 gamma=60.00
Atoms (fractional coordinates):
Pt 0.0000 0.0000 0.0000
Ir 0.2506 0.2506 0.2481
U 0.5000 0.5000 0.5000
Ir 0.7494 0.7494 0.7519



12.
First-principles (PBE) data for a relaxed Li2CdAu9 crystal, as listed in the Alexandria database.

**Symmetry**: No. 123
**DOS at the Fermi energy**: 3.73 states/eV/cell
**Formation energy from the elements**: -275 meV per atom

Unit cell a=4.1144 b=4.1144 c=12.4010 alpha=90.00 beta=90.00 gamma=90.00
Atoms (fractional coordinates):
Au 0.0000 0.5000 0.8241
Au 0.0000 0.5000 0.5000
Li 0.0000 0.0000 0.3377
Au 0.5000 0.0000 0.1759
Au 0.0000 0.5000 0.1759
Au 0.5000 0.5000 0.6621
Au 0.5000 0.0000 0.8241
Au 0.5000 0.0000 0.5000
Cd 0.0000 0.0000 0.0000
Li 0.0000 0.0000 0.6623
Au 0.5000 0.5000 0.0000
Au 0.5000 0.5000 0.3379



13.
First-principles (PBE) data for a relaxed K3Sm2ScO6 crystal, as listed in the Alexandria database.

**Symmetry**: No. 12
**DOS at the Fermi energy**: 0.00 states/eV/cell
**Raw formation energy**: -2.672 eV per atom

Unit cell a=6.0224 b=6.0224 c=6.5663 alpha=98.77 beta=98.77 gamma=120.02
Atoms (fractional coordinates):
O 0.6254 0.9384 0.8149
O 0.2516 0.2516 0.8159
Sc 0.0000 0.0000 0.0000
K 0.1628 0.8372 0.5000
O 0.3746 0.0616 0.1851
Sm 0.6668 0.3332 0.0000
O 0.7484 0.7484 0.1841
O 0.0616 0.3746 0.1851
K 0.5000 0.5000 0.5000
K 0.8372 0.1628 0.5000
O 0.9384 0.6254 0.8149
Sm 0.3332 0.6668 0.0000



14.
First-principles (PBE) data for a relaxed Zr6NbTl5 crystal, as listed in the Alexandria database.

**Symmetry**: No. 65
**DOS at the Fermi energy**: 10.26 states/eV/cell
**Formation energy from the elements**: -41 meV per atom

Unit cell a=4.6339 b=8.2086 c=7.4719 alpha=90.00 beta=71.90 gamma=90.00
Atoms (fractional coordinates):
Tl 0.0000 0.5000 0.0000
Tl 0.6684 0.5000 0.6631
Zr 0.8344 0.2393 0.3314
Zr 0.1656 0.2393 0.6686
Nb 0.0000 0.0000 0.0000
Tl 0.3316 0.5000 0.3369
Tl 0.3415 0.0000 0.3173
Zr 0.1656 0.7607 0.6686
Tl 0.6585 0.0000 0.6827
Zr 0.8344 0.7607 0.3314
Zr 0.5000 0.2417 0.0000
Zr 0.5000 0.7583 0.0000



15.
First-principles (PBE) data for a relaxed MoP crystal, as listed in the Alexandria database.

**Symmetry**: No. 59
**DOS at the Fermi energy**: 8.29 states/eV/cell
**Formation energy from the elements**: -237 meV per atom

Unit cell a=3.1286 b=5.5500 c=11.1320 alpha=90.00 beta=90.00 gamma=90.00
Atoms (fractional coordinates):
P 0.5000 0.3147 0.7806
Mo 0.0000 0.6782 0.5000
P 0.5000 0.3147 0.2194
P 0.0000 0.6853 0.7194
Mo 0.0000 0.0127 0.1376
Mo 0.5000 0.9873 0.3624
Mo 0.0000 0.0127 0.8624
Mo 0.5000 0.3218 0.0000
Mo 0.5000 0.9873 0.6376
P 0.0000 0.6682 0.0000
P 0.0000 0.6853 0.2806
P 0.5000 0.3318 0.5000



16.
First-principles (PBE) data for a relaxed AgHgH2F8 crystal, as listed in the Alexandria database.

**Symmetry**: No. 2
**DFT total energy**: -3.268 eV/atom
**DOS at the Fermi energy**: 4.89 states/eV/cell

Unit cell a=3.5572 b=5.0334 c=9.3324 alpha=100.57 beta=86.68 gamma=71.09
Each line ends with the local moment (μB).
Atoms (fractional coordinates):
H 0.5229 0.5153 0.7623  0.00
Hg 0.0000 0.0000 0.5000  -0.07
F 0.3824 0.2467 0.4655  -0.07
Ag 0.0000 0.0000 0.0000  0.09
F 0.8287 0.2226 0.2045  0.01
F 0.2384 0.6620 0.2591  0.00
F 0.6842 0.7566 0.0345  0.06
F 0.1713 0.7774 0.7955  0.01
F 0.3158 0.2434 0.9655  0.06
H 0.4771 0.4847 0.2377  0.00
F 0.6176 0.7533 0.5345  -0.07
F 0.7616 0.3380 0.7409  0.00



17.
First-principles (PBE) data for a relaxed SrLiLa2Ir crystal, as listed in the Alexandria database.

**Symmetry**: No. 123
**Distance to the lowest polymorph of the same formula**: 51.3 meV/atom
**DOS at the Fermi energy**: 4.30 states/eV/cell
**Formation energy from the elements**: -203 meV per atom

Unit cell a=5.5755 b=5.5755 c=5.5453 alpha=90.00 beta=90.00 gamma=90.00
Atoms (fractional coordinates):
La 0.5000 0.0000 0.0000
Ir 0.0000 0.0000 0.0000
Sr 0.5000 0.5000 0.5000
La 0.0000 0.5000 0.0000
Li 0.0000 0.0000 0.5000



18.
First-principles (PBE) data for a relaxed MoAs2Au crystal, as listed in the Alexandria database.

**Symmetry**: No. 139
**Distance to the lowest polymorph of the same formula**: 331.6 meV/atom
**DOS at the Fermi energy**: 3.75 states/eV/cell
**Formation energy from the elements**: 365 meV per atom

Unit cell a=4.8300 b=4.8300 c=4.8300 alpha=127.77 beta=127.77 gamma=77.00
Atoms (fractional coordinates):
Mo 0.7500 0.2500 0.5000
Au 0.2500 0.7500 0.5000
As 0.0000 0.0000 0.0000
As 0.5000 0.5000 0.0000



19.
First-principles (PBE) data for a relaxed AlBiPd2 crystal, as listed in the Alexandria database.

**Symmetry**: No. 122
**DOS at the Fermi energy**: 3.50 states/eV/cell
**Formation energy from the elements**: -171 meV per atom

Unit cell a=4.3574 b=4.3574 c=9.2073 alpha=76.31 beta=76.31 gamma=90.00
Atoms (fractional coordinates):
Pd 0.5905 0.1250 0.2500
Pd 0.1595 0.6250 0.2500
Bi 0.0000 0.0000 0.0000
Pd 0.3750 0.4095 0.7500
Pd 0.8750 0.8405 0.7500
Al 0.2500 0.7500 0.5000
Al 0.5000 0.5000 0.0000
Bi 0.7500 0.2500 0.5000



20.
First-principles (PBE) data for a relaxed Ba3CuH crystal, as listed in the Alexandria database.

**Symmetry**: No. 221
**Distance to the lowest polymorph of the same formula**: 0.0 meV/atom
**DOS at the Fermi energy**: 6.28 states/eV/cell

Unit cell a=5.6200 b=5.6200 c=5.6200 alpha=90.00 beta=90.00 gamma=90.00
Atoms (fractional coordinates):
Ba 0.0000 0.0000 0.5000
Cu 0.5000 0.5000 0.5000
H 0.0000 0.0000 0.0000
Ba 0.5000 0.0000 0.0000
Ba 0.0000 0.5000 0.0000



21.
First-principles (PBE) data for a relaxed MgMo2RuN crystal, as listed in the Alexandria database.

**Symmetry**: No. 123
**DOS at the Fermi energy**: 6.56 states/eV/cell
**Raw formation energy**: 2.199 eV per atom

Unit cell a=4.6158 b=4.8753 c=4.6158 alpha=90.00 beta=90.00 gamma=90.00
Atoms (fractional coordinates):
Mo 0.0000 0.0000 0.5000
Ru 0.0000 0.0000 0.0000
Mg 0.0000 0.5000 0.0000
Mo 0.5000 0.0000 0.0000
N 0.5000 0.5000 0.5000



22.
First-principles (PBE) data for a relaxed Pr3NdCd6 crystal, as listed in the Alexandria database.

**Symmetry**: No. 11
**DOS at the Fermi energy**: 17.56 states/eV/cell
**Formation energy from the elements**: -295 meV per atom

Unit cell a=5.2939 b=9.5385 c=11.3748 alpha=105.64 beta=90.00 gamma=90.00
Each line ends with the local moment (μB).
Atoms (fractional coordinates):
Pr 0.2500 0.7654 0.0040  0.00
Cd 0.2500 0.0500 0.9003  0.00
Pr 0.7500 0.4778 0.6085  0.07
Cd 0.7500 0.5521 0.9088  0.00
Pr 0.2500 0.5222 0.3915  0.07
Cd 0.2500 0.1443 0.1920  0.00
Nd 0.7500 0.0563 0.3883  0.01
Cd 0.7500 0.3350 0.2894  0.00
Pr 0.7500 0.2346 0.9960  0.00
Cd 0.2500 0.8558 0.3093  0.00
Cd 0.2500 0.4479 0.0912  0.00
Cd 0.7500 0.8557 0.8080  0.00
Cd 0.7500 0.1442 0.6907  0.00
Cd 0.7500 0.9500 0.0997  0.00
Cd 0.2500 0.6650 0.7106  0.00
Pr 0.2500 0.3504 0.7873  0.04
Pr 0.7500 0.6496 0.2127  0.04
Cd 0.7500 0.7653 0.5093  0.00
Cd 0.2500 0.2347 0.4907  0.00
Nd 0.2500 0.9437 0.6117  0.01



23.
First-principles (PBE) data for a relaxed Pd3BrF crystal, as listed in the Alexandria database.

**Symmetry**: No. 221
**Distance to the lowest polymorph of the same formula**: 0.0 meV/atom
**DOS at the Fermi energy**: 8.71 states/eV/cell
**Raw formation energy**: 0.348 eV per atom

Unit cell a=4.5117 b=4.5117 c=4.5117 alpha=90.00 beta=90.00 gamma=90.00
Each line ends with the local moment (μB).
Atoms (fractional coordinates):
F 0.0000 0.0000 0.0000  0.18
Pd 0.5000 0.0000 0.0000  0.67
Pd 0.0000 0.5000 0.0000  0.72
Pd 0.0000 0.0000 0.5000  0.35
Br 0.5000 0.5000 0.5000  0.14



24.
First-principles (PBE) data for a relaxed Mn2MoAu crystal, as listed in the Alexandria database.

**Symmetry**: No. 216
**Distance to the lowest polymorph of the same formula**: 265.3 meV/atom
**DOS at the Fermi energy**: 5.51 states/eV/cell
**Formation energy from the elements**: 385 meV per atom

Unit cell a=4.4313 b=4.4313 c=4.4313 alpha=60.00 beta=60.00 gamma=60.00
Each line ends with the local moment (μB).
Atoms (fractional coordinates):
Au 0.5000 0.5000 0.5000  0.00
Mn 0.2500 0.2500 0.2500  3.49
Mn 0.0000 0.0000 0.0000  2.72
Mo 0.7500 0.7500 0.7500  -1.12